First-principles (PBE) data for CrP2Pt after structural relaxation, as listed in Alexandria via LeMat-Bulk.

a = 3.347 Å, b = 3.361 Å, c = 10.117 Å
α = 90.00°, β = 90.00°, γ = 90.00°
Space group Imm2 (No. 44)
Unique sites:
1 Cr 0.000 0.000 0.000 [2 per cell]
2 P 0.000 0.000 0.424 [2 per cell]
3 P 0.000 0.500 0.660 [2 per cell]
4 Pt 0.000 0.500 0.241 [2 per cell]

Results
* excess energy over the best structure of this formula in the dataset: 139 meV/atom



First-principles (PBE) data for CrP2Pt after structural relaxation, as listed in Alexandria via LeMat-Bulk.

a = 2.979 Å, b = 2.979 Å, c = 5.865 Å
α = 90.00°, β = 90.00°, γ = 90.00°
Space group P4/mmm (No. 123)
Unique sites:
1 Cr 0.000 0.000 0.000 [1 per cell]
2 P 0.500 0.500 0.217 [2 per cell]
3 Pt 0.000 0.000 0.500 [1 per cell]

Results
* excess energy over the best structure of this formula in the dataset: 238 meV/atom



First-principles (PBE) data for CrP2Pt after structural relaxation, as listed in Alexandria via LeMat-Bulk.

a = 2.786 Å, b = 2.786 Å, c = 7.419 Å
α = 90.00°, β = 90.00°, γ = 90.00°
Space group P4mm (No. 99)
Unique sites:
1 Cr 0.000 0.000 0.000 [1 per cell]
2 P 0.000 0.000 0.507 [1 per cell]
3 P 0.500 0.500 0.177 [1 per cell]
4 Pt 0.500 0.500 0.743 [1 per cell]

Results
* excess energy over the best structure of this formula in the dataset: 383 meV/atom



First-principles (PBE) data for CrPPt2 after structural relaxation, as listed in Alexandria via LeMat-Bulk.

a = 5.335 Å, b = 6.509 Å, c = 3.422 Å
α = 90.00°, β = 90.00°, γ = 90.00°
Space group Cmmm (No. 65)
Unique sites:
1 Cr 0.000 0.000 0.000 [2 per cell]
2 P 0.000 0.500 0.000 [2 per cell]
3 Pt 0.250 0.250 0.500 [4 per cell]

Results
* calculated total energy: -6.846 eV/atom



First-principles (PBE) data for CrPPt2 after structural relaxation, as listed in Alexandria via LeMat-Bulk.

a = 2.8186 Å, b = 2.8186 Å, c = 24.3805 Å
α = 90.00°, β = 90.00°, γ = 120.00°
Space group R3m (No. 160, hexagonal axes)
Unique sites:
1 Cr 0.0000 0.0000 0.0000 [3 per cell]
2 P 0.0000 0.0000 0.2674 [3 per cell]
3 Pt 0.0000 0.0000 0.5195 [3 per cell]
4 Pt 0.0000 0.0000 0.7528 [3 per cell]

Results
* calculated total energy: -6.891 eV/atom



First-principles (PBE) data for CrPPt2 after structural relaxation, as listed in Alexandria via LeMat-Bulk.

a = 8.608 Å, b = 3.359 Å, c = 4.205 Å
α = 90.00°, β = 96.33°, γ = 90.00°
Space group C2/m (No. 12)
Unique sites:
1 Cr 0.000 0.000 0.000 [2 per cell]
2 P 0.000 0.500 0.500 [2 per cell]
3 Pt 0.228 0.500 0.241 [4 per cell]

Results
* calculated total energy: -6.890 eV/atom



First-principles (PBE) data for CrPPt after structural relaxation, as listed in Alexandria via LeMat-Bulk.

a = 2.8161 Å, b = 2.8161 Å, c = 5.9217 Å
α = 90.00°, β = 90.00°, γ = 120.00°
Space group P3m1 (No. 156)
Unique sites:
1 Cr 0.0000 0.0000 0.0000 [1 per cell]
2 P 0.6667 0.3333 0.2761 [1 per cell]
3 Pt 0.3333 0.6667 0.6443 [1 per cell]

Results
* calculated total energy: -7.068 eV/atom



First-principles (PBE) data for Cr2PPt after structural relaxation, as listed in Alexandria via LeMat-Bulk.

a = 5.291 Å, b = 7.141 Å, c = 2.817 Å
α = 90.00°, β = 90.00°, γ = 90.00°
Space group Cmmm (No. 65)
Unique sites:
1 Cr 0.250 0.250 0.000 [4 per cell]
2 P 0.000 0.000 0.500 [2 per cell]
3 Pt 0.000 0.500 0.500 [2 per cell]

Results
* calculated total energy: -7.701 eV/atom



First-principles (PBE) data for CrPPt2 after structural relaxation, as listed in Alexandria via LeMat-Bulk.

a = 4.679 Å, b = 4.679 Å, c = 13.401 Å
α = 90.00°, β = 90.00°, γ = 90.00°
Space group I-42d (No. 122)
Unique sites:
1 Cr 0.000 0.000 0.000 [4 per cell]
2 P 0.000 0.000 0.500 [4 per cell]
3 Pt 0.222 0.250 0.625 [8 per cell]

Results
* calculated total energy: -6.500 eV/atom



First-principles (PBE) data for CrPPt3 after structural relaxation, as listed in Alexandria via LeMat-Bulk.

a = 4.576 Å, b = 4.576 Å, c = 4.576 Å
α = 90.00°, β = 90.00°, γ = 90.00°
Space group Pm-3m (No. 221)
Unique sites:
1 Cr 0.000 0.000 0.000 [1 per cell]
2 P 0.500 0.500 0.500 [1 per cell]
3 Pt 0.000 0.000 0.500 [3 per cell]

Results
* excess energy over the best structure of this formula in the dataset: 1011 meV/atom



First-principles (PBE) data for CrPPt after structural relaxation, as listed in Alexandria via LeMat-Bulk.

a = 3.9515 Å, b = 3.9515 Å, c = 3.3389 Å
α = 90.00°, β = 90.00°, γ = 120.00°
Space group P3m1 (No. 156)
Unique sites:
1 Cr 0.0000 0.0000 0.0000 [1 per cell]
2 P 0.6667 0.3333 0.3792 [1 per cell]
3 Pt 0.3333 0.6667 0.5049 [1 per cell]

Results
* calculated total energy: -7.265 eV/atom



First-principles (PBE) data for CrP2Pt after structural relaxation, as listed in Alexandria via LeMat-Bulk.

a = 2.8785 Å, b = 2.8785 Å, c = 22.4248 Å
α = 90.00°, β = 90.00°, γ = 120.00°
Space group R-3m (No. 166, hexagonal axes)
Unique sites:
1 Cr 0.0000 0.0000 0.0000 [3 per cell]
2 P 0.0000 0.0000 0.2596 [6 per cell]
3 Pt 0.0000 0.0000 0.5000 [3 per cell]

Results
* excess energy over the best structure of this formula in the dataset: 172 meV/atom



Values for M_tot, Bohr magnetons per cell, ordered as above
3.8, 0.0, 0.0, 6.1, 0.0, 5.1, 0.0, 8.0, 0.0, 0.0, 2.9, 0.1